Record 1
VASP calculation (PBE) on crystalline RbTlPb at its relaxed geometry. Values from VASP.

ΔH_f (0 K), kcal/mol of atoms: -3.0
Final energy, eV/atom: -2.4762
SG: No. 129
ρ, g cm⁻³: 6.84

Cell and atoms, written as Quantum ESPRESSO input:
```
&SYSTEM
  ibrav = 0, nat = 6, ntyp = 3
/
ATOMIC_SPECIES
Rb 85.47 Rb.upf
Tl 204.38 Tl.upf
Pb 207.20 Pb.upf
ATOMIC_POSITIONS crystal
Rb 0.250 0.250 0.168
Rb 0.750 0.750 0.832
Tl 0.250 0.750 0.500
Tl 0.750 0.250 0.500
Pb 0.250 0.250 0.713
Pb 0.750 0.750 0.287
CELL_PARAMETERS angstrom
5.195 0.000 0.000
0.000 5.195 0.000
0.000 0.000 8.947
```


Record 2
VASP calculation (PBE) on crystalline Pa2Se2F3 at its relaxed geometry. Values from VASP.

E_form (uncorrected), eV/atom: -2.53
Final energy, eV/atom: -7.0380
SG: No. 12
ρ, g cm⁻³: 8.52

Cell and atoms, written as Quantum ESPRESSO input:
```
&SYSTEM
  ibrav = 0, nat = 7, ntyp = 3
/
ATOMIC_SPECIES
Pa 231.04 Pa.upf
Se 78.96 Se.upf
F 19.00 F.upf
ATOMIC_POSITIONS crystal
Pa 0.166 0.166 0.210
Pa 0.834 0.834 0.790
Se 0.122 0.122 0.779
Se 0.878 0.878 0.221
F 0.336 0.336 0.583
F 0.500 0.500 0.000
F 0.664 0.664 0.417
CELL_PARAMETERS angstrom
5.187 -1.956 0.000
5.187 1.956 0.000
-3.154 0.000 6.503
```


Record 3
VASP calculation (PBE) on crystalline LiBeIn2 at its relaxed geometry. Values from VASP.

ΔH_f (0 K), kcal/mol of atoms: 5.0
Final energy, eV/atom: -2.5614
SG: No. 35
ρ, g cm⁻³: 5.37

Cell and atoms, written as Quantum ESPRESSO input:
```
&SYSTEM
  ibrav = 0, nat = 4, ntyp = 3
/
ATOMIC_SPECIES
Li 6.94 Li.upf
Be 9.01 Be.upf
In 114.82 In.upf
ATOMIC_POSITIONS crystal
Li 0.000 0.000 0.000
Be 0.500 0.500 0.802
In 0.000 0.000 0.593
In 0.500 0.500 0.254
CELL_PARAMETERS angstrom
2.286 -2.440 0.000
2.286 2.440 0.000
0.000 0.000 6.806
```


Record 4
VASP calculation (PBE) on crystalline Pu2AlGa3 at its relaxed geometry. Values from VASP.

ΔH_f (0 K), kcal/mol of atoms: -8.3
Final energy, eV/atom: -7.2756
SG: No. 8
ρ, g cm⁻³: 9.72

Cell and atoms, written as Quantum ESPRESSO input:
```
&SYSTEM
  ibrav = 0, nat = 6, ntyp = 3
/
ATOMIC_SPECIES
Pu 244.00 Pu.upf
Al 26.98 Al.upf
Ga 69.72 Ga.upf
ATOMIC_POSITIONS crystal
Pu 0.000 0.000 0.000
Pu 0.002 0.002 0.500
Al 0.669 0.669 0.939
Ga 0.332 0.332 0.061
Ga 0.334 0.334 0.606
Ga 0.669 0.669 0.390
CELL_PARAMETERS angstrom
5.242 -2.279 0.000
5.242 2.279 0.000
-4.429 0.000 5.181
```


Record 5
VASP calculation (PBE) on crystalline CaTbTlPt at its relaxed geometry. Values from VASP.

ΔH_f (0 K), kcal/mol of atoms: -15.0
Final energy, eV/atom: -4.4107
SG: No. 216
ρ, g cm⁻³: 10.21

Cell and atoms, written as Quantum ESPRESSO input:
```
&SYSTEM
  ibrav = 0, nat = 4, ntyp = 4
/
ATOMIC_SPECIES
Ca 40.08 Ca.upf
Tb 158.93 Tb.upf
Tl 204.38 Tl.upf
Pt 195.08 Pt.upf
ATOMIC_POSITIONS crystal
Ca 0.000 0.000 0.000
Tb 0.500 0.500 0.500
Tl 0.250 0.250 0.250
Pt 0.750 0.750 0.750
CELL_PARAMETERS angstrom
0.000 3.651 3.651
3.651 0.000 3.651
3.651 3.651 0.000
```


Record 6
VASP calculation (PBE) on crystalline BaSnW2 at its relaxed geometry. Values from VASP.

ΔH_f (0 K), kcal/mol of atoms: 39.8
Final energy, eV/atom: -6.2339
SG: No. 122
ρ, g cm⁻³: 10.09

Cell and atoms, written as Quantum ESPRESSO input:
```
&SYSTEM
  ibrav = 0, nat = 8, ntyp = 3
/
ATOMIC_SPECIES
Ba 137.33 Ba.upf
Sn 118.71 Sn.upf
W 183.84 W.upf
ATOMIC_POSITIONS crystal
Ba 0.000 0.000 0.000
Ba 0.750 0.250 0.500
Sn 0.250 0.750 0.500
Sn 0.500 0.500 0.000
W 0.178 0.625 0.053
W 0.375 0.428 0.553
W 0.572 0.125 0.947
W 0.875 0.822 0.447
CELL_PARAMETERS angstrom
-4.176 4.176 2.943
4.176 -4.176 2.943
4.176 4.176 -2.943
```